Computed, not measured: crystalline LiLa2Mg2 at its relaxed geometry at the PBE-GGA level of DFT.

Computed properties:
calculated formation energy: 1.6 kJ per mole of atoms
space-group type: P4/mbm, No. 127

Cell and atoms, written as POSCAR:
```
LiLa2Mg2
1.0
7.309 0.000 0.000
0.000 7.309 0.000
0.000 0.000 5.526
Mg Li La
4 2 4
Cartesian
2.607 6.262 0.000
6.262 4.702 0.000
4.702 1.048 0.000
1.048 2.607 0.000
0.000 0.000 0.000
3.655 3.655 0.000
1.171 4.826 2.763
4.826 6.138 2.763
6.138 2.483 2.763
2.483 1.171 2.763
```